The following is a PBE calculation of an optimized crystal structure of BaRe, from the Alexandria database.

The polymorph energy (0 for the lowest one) comes out at 0.3902 eV per atom. As for the uncorrected energy: -6.391 eV per atom. As for the size of the total moment: 0.0 μB per formula unit. The space-group type is No. 8. For the calculated formation energy, the calculation gives 1.6 eV per formula unit.

POSCAR file:
```
BaRe
1.0
7.0009 -1.9513 0.0000
7.0009 1.9513 0.0000
-3.4111 0.0000 7.2029
Ba Re
3 3
direct
0.0000 0.0000 0.0000
0.0199 0.0199 0.5472
0.7370 0.7370 0.4013
0.2847 0.2847 0.7867
0.3210 0.3210 0.1150
0.7267 0.7267 0.9188
```